[1]
Material: CsLiNbBr6
Method: DFT, PBE
State: optimized geometry

Cell lengths 7.032, 7.032, 16.260 Å; angles 90.00, 90.00, 120.00 degrees
Sites, in units of the cell vectors:
Cs 0.000 0.000 0.000
Cs 0.000 0.000 0.500
Li 0.333 0.667 0.250
Li 0.667 0.333 0.750
Nb 0.333 0.667 0.750
Nb 0.667 0.333 0.250
Br 0.017 0.382 0.657
Br 0.017 0.634 0.843
Br 0.366 0.382 0.843
Br 0.366 0.983 0.657
Br 0.382 0.017 0.157
Br 0.382 0.366 0.343
Br 0.618 0.634 0.657
Br 0.618 0.983 0.843
Br 0.634 0.017 0.343
Br 0.634 0.618 0.157
Br 0.983 0.366 0.157
Br 0.983 0.618 0.343

Calculated values
Uncorrected formation energy   -1.211 eV/atom


[2]
Material: La2SmDyTm
Method: DFT, PBE
State: optimized geometry

Cell lengths 8.878, 8.878, 6.533 Å; angles 90.00, 90.00, 136.83 degrees
Sites, in units of the cell vectors:
La 0.250 0.250 0.000
La 0.250 0.250 0.500
La 0.750 0.750 0.000
La 0.750 0.750 0.500
Sm 0.159 0.841 0.750
Sm 0.841 0.159 0.250
Dy 0.251 0.749 0.250
Dy 0.749 0.251 0.750
Tm 0.344 0.656 0.750
Tm 0.656 0.344 0.250

Calculated values
ΔE_f   0.356 eV/atom


[3]
Material: CsK2Tl2
Method: DFT, PBE
State: optimized geometry

Cell lengths 8.504, 8.504, 8.504 Å; angles 138.76, 138.76, 59.74 degrees
Sites, in units of the cell vectors:
Cs 0.000 0.000 0.000
K 0.250 0.750 0.500
K 0.750 0.250 0.500
Tl 0.401 0.401 0.000
Tl 0.599 0.599 0.000

Calculated values
ΔE_f   0.004 eV/atom


[4]
Material: CdHPd3
Method: DFT, PBE
State: optimized geometry

Cell lengths 5.031, 7.638, 7.839 Å; angles 90.00, 90.00, 90.00 degrees
Sites, in units of the cell vectors:
Cd 0.000 0.000 0.000
Cd 0.000 0.500 0.000
Cd 0.500 0.000 0.500
Cd 0.500 0.500 0.500
H 0.007 0.250 0.497
H 0.493 0.750 0.997
H 0.507 0.250 0.003
H 0.993 0.750 0.503
Pd 0.025 0.074 0.658
Pd 0.025 0.426 0.658
Pd 0.210 0.250 0.317
Pd 0.290 0.750 0.817
Pd 0.475 0.574 0.158
Pd 0.475 0.926 0.158
Pd 0.525 0.074 0.842
Pd 0.525 0.426 0.842
Pd 0.710 0.250 0.183
Pd 0.790 0.750 0.683
Pd 0.975 0.574 0.342
Pd 0.975 0.926 0.342


no.,final energy (eV per cell)
1,-67.538
2,-43.740
3,-7.761
4,-81.032